The following is a PBE calculation of an optimized crystal structure of Zr4CdBi, from Alexandria.

Cell lengths 5.261, 5.210, 5.713 Å; angles 90.00, 117.41, 90.00 degrees
Sites, in units of the cell vectors:
1 Zr 0.664 0.000 0.329
2 Bi 0.000 0.000 0.000
3 Zr 0.336 0.000 0.671
4 Zr 0.167 0.500 0.333
5 Zr 0.833 0.500 0.667
6 Cd 0.500 0.500 0.000

For the calculated total energy, the calculation gives -0.4890 Ry per atom. For the density of states at the Fermi level, the calculation gives 0.800 states/eV per atom. For the size of the total moment, the calculation gives 0.0 μB/cell. The value obtained for the volume is 139.0 Å³/f.u.